Record 1
Computed, not measured: an optimized crystal structure of PmPr3Co at the GGA-PBE level of DFT. Values from VASP.

Results
The space-group type is Pm-3m. The value obtained for the distance to the lowest polymorph of the same formula is 150 meV per atom. The energy of formation is 0.54 eV/f.u.

The structure in Quantum ESPRESSO input format:
```
&SYSTEM
  ibrav = 0, nat = 5, ntyp = 3
/
ATOMIC_SPECIES
Pm 145.00 Pm.upf
Pr 140.91 Pr.upf
Co 58.93 Co.upf
CELL_PARAMETERS angstrom
5.4963 0.0000 0.0000
0.0000 5.4963 0.0000
0.0000 0.0000 5.4963
ATOMIC_POSITIONS crystal
Pm 0.0000 0.0000 0.0000
Pr 0.0000 0.5000 0.5000
Pr 0.5000 0.0000 0.5000
Pr 0.5000 0.5000 0.0000
Co 0.5000 0.5000 0.5000
```

Record 2
Computed, not measured: an optimized crystal structure of Pm3Pr4Co4 at the GGA-PBE level of DFT. Values from VASP.

Results
The space-group type is Immm. The energy of formation is 0.85 eV/f.u.

The structure in Quantum ESPRESSO input format:
```
&SYSTEM
  ibrav = 0, nat = 11, ntyp = 3
/
ATOMIC_SPECIES
Pm 145.00 Pm.upf
Pr 140.91 Pr.upf
Co 58.93 Co.upf
CELL_PARAMETERS angstrom
-1.8635 4.5821 7.9930
1.8635 -4.5821 7.9930
1.8635 4.5821 -7.9930
ATOMIC_POSITIONS crystal
Pm 0.0000 0.0000 0.0000
Pm 0.3976 0.8976 0.5000
Pm 0.6024 0.1024 0.5000
Pr 0.0210 0.3360 0.6850
Pr 0.3491 0.6640 0.6850
Pr 0.6509 0.3360 0.3150
Pr 0.9790 0.6640 0.3150
Co 0.2517 0.2517 0.0000
Co 0.2822 0.5000 0.7822
Co 0.7178 0.5000 0.2178
Co 0.7483 0.7483 0.0000
```

Record 3
Computed, not measured: an optimized crystal structure of PmPrCo at the GGA-PBE level of DFT. Values from VASP.

Results
The space-group type is C2/m. The value obtained for the distance to the lowest polymorph of the same formula is 0 meV per atom. The energy of formation is -0.17 eV/f.u.

The structure in Quantum ESPRESSO input format:
```
&SYSTEM
  ibrav = 0, nat = 6, ntyp = 3
/
ATOMIC_SPECIES
Pm 145.00 Pm.upf
Pr 140.91 Pr.upf
Co 58.93 Co.upf
CELL_PARAMETERS angstrom
6.3049 -1.8936 0.0000
6.3049 1.8936 0.0000
-5.1318 0.0000 6.7191
ATOMIC_POSITIONS crystal
Pm 0.0768 0.0768 0.3878
Pm 0.9232 0.9232 0.6122
Pr 0.3222 0.3222 0.9087
Pr 0.6778 0.6778 0.0913
Co 0.3871 0.3871 0.3068
Co 0.6129 0.6129 0.6932
```

Record 4
Computed, not measured: an optimized crystal structure of Pm5Pr3Co2 at the GGA-PBE level of DFT. Values from VASP.

Results
The space-group type is Ibam. The energy of formation is 0.32 eV/f.u.

The structure in Quantum ESPRESSO input format:
```
&SYSTEM
  ibrav = 0, nat = 20, ntyp = 3
/
ATOMIC_SPECIES
Pm 145.00 Pm.upf
Pr 140.91 Pr.upf
Co 58.93 Co.upf
CELL_PARAMETERS angstrom
-5.2369 7.5522 3.9669
5.2369 -7.5522 3.9669
5.2369 7.5522 -3.9669
ATOMIC_POSITIONS crystal
Pm 0.0022 0.2500 0.7522
Pm 0.1166 0.2418 0.3583
Pm 0.2500 0.2500 0.0000
Pm 0.3834 0.7418 0.1252
Pm 0.4978 0.2500 0.2478
Pm 0.5022 0.7500 0.7522
Pm 0.6166 0.2582 0.8748
Pm 0.7500 0.7500 0.0000
Pm 0.8834 0.7582 0.6417
Pm 0.9978 0.7500 0.2478
Pr 0.1342 0.7616 0.8958
Pr 0.2500 0.7500 0.5000
Pr 0.3658 0.2616 0.6275
Pr 0.6342 0.7384 0.3725
Pr 0.7500 0.2500 0.5000
Pr 0.8658 0.2384 0.1042
Co 0.1326 0.4992 0.6318
Co 0.3674 0.9992 0.3666
Co 0.6326 0.0008 0.6334
Co 0.8674 0.5008 0.3682
```

Record 5
Computed, not measured: an optimized crystal structure of Pm6Pr2Co at the GGA-PBE level of DFT. Values from VASP.

Results
The space-group type is Cmmm. The energy of formation is 1.50 eV/f.u.

The structure in Quantum ESPRESSO input format:
```
&SYSTEM
  ibrav = 0, nat = 9, ntyp = 3
/
ATOMIC_SPECIES
Pm 145.00 Pm.upf
Pr 140.91 Pr.upf
Co 58.93 Co.upf
CELL_PARAMETERS angstrom
4.7326 -8.7808 0.0000
4.7326 8.7808 0.0000
0.0000 0.0000 3.6914
ATOMIC_POSITIONS crystal
Pm 0.0036 0.6674 0.0000
Pm 0.1993 0.1993 0.5000
Pm 0.3326 0.9964 0.0000
Pm 0.6674 0.0036 0.0000
Pm 0.8007 0.8007 0.5000
Pm 0.9964 0.3326 0.0000
Pr 0.3344 0.6656 0.5000
Pr 0.6656 0.3344 0.5000
Co 0.0000 0.0000 0.0000
```

Record 6
Computed, not measured: an optimized crystal structure of PmPrCo at the GGA-PBE level of DFT. Values from VASP.

Results
The space-group type is P3m1. The value obtained for the distance to the lowest polymorph of the same formula is 64 meV per atom. The energy of formation is 0.02 eV/f.u.

The structure in Quantum ESPRESSO input format:
```
&SYSTEM
  ibrav = 0, nat = 3, ntyp = 3
/
ATOMIC_SPECIES
Pm 145.00 Pm.upf
Pr 140.91 Pr.upf
Co 58.93 Co.upf
CELL_PARAMETERS angstrom
4.0119 0.0000 0.0000
-2.0060 3.4744 0.0000
0.0000 0.0000 6.3622
ATOMIC_POSITIONS crystal
Pm 0.0000 0.0000 0.0000
Pr 0.3333 0.6667 0.4627
Co 0.6667 0.3333 0.2279
```

Record 7
Computed, not measured: an optimized crystal structure of Pm6PrCo3 at the GGA-PBE level of DFT. Values from VASP.

Results
The space-group type is Cmc2_1. The energy of formation is 0.23 eV/f.u.

The structure in Quantum ESPRESSO input format:
```
&SYSTEM
  ibrav = 0, nat = 20, ntyp = 3
/
ATOMIC_SPECIES
Pm 145.00 Pm.upf
Pr 140.91 Pr.upf
Co 58.93 Co.upf
CELL_PARAMETERS angstrom
5.0484 -7.1142 0.0000
5.0484 7.1142 0.0000
0.0000 0.0000 7.6174
ATOMIC_POSITIONS crystal
Pm 0.0040 0.9960 0.5000
Pm 0.0133 0.3831 0.3409
Pm 0.2681 0.3760 0.7154
Pm 0.3473 0.6527 0.0848
Pm 0.3760 0.2681 0.2154
Pm 0.3831 0.0133 0.8409
Pm 0.6169 0.9867 0.3409
Pm 0.6240 0.7319 0.7154
Pm 0.6527 0.3473 0.5848
Pm 0.7319 0.6240 0.2154
Pm 0.9867 0.6169 0.8409
Pm 0.9960 0.0040 0.0000
Pr 0.2460 0.7540 0.4956
Pr 0.7540 0.2460 0.9956
Co 0.0534 0.7179 0.1767
Co 0.2821 0.9466 0.1767
Co 0.4359 0.5641 0.4069
Co 0.5641 0.4359 0.9069
Co 0.7179 0.0534 0.6767
Co 0.9466 0.2821 0.6767
```

Record 8
Computed, not measured: an optimized crystal structure of PmPrCo at the GGA-PBE level of DFT. Values from VASP.

Results
The space-group type is Pnma. The value obtained for the distance to the lowest polymorph of the same formula is 7 meV per atom. The energy of formation is -0.15 eV/f.u.

The structure in Quantum ESPRESSO input format:
```
&SYSTEM
  ibrav = 0, nat = 12, ntyp = 3
/
ATOMIC_SPECIES
Pm 145.00 Pm.upf
Pr 140.91 Pr.upf
Co 58.93 Co.upf
CELL_PARAMETERS angstrom
6.2267 0.0000 0.0000
0.0000 3.8061 0.0000
0.0000 0.0000 13.7885
ATOMIC_POSITIONS crystal
Pm 0.1604 0.2500 0.1636
Pm 0.3396 0.7500 0.6636
Pm 0.6604 0.2500 0.3364
Pm 0.8396 0.7500 0.8364
Pr 0.1529 0.7500 0.4069
Pr 0.3471 0.2500 0.9069
Pr 0.6529 0.7500 0.0931
Pr 0.8471 0.2500 0.5931
Co 0.1123 0.7500 0.0145
Co 0.3877 0.2500 0.5145
Co 0.6123 0.7500 0.4855
Co 0.8877 0.2500 0.9855
```

Record 9
Computed, not measured: an optimized crystal structure of PmPrCoRh at the GGA-PBE level of DFT. Values from VASP.

Results
The space-group type is F-43m. The energy of formation is -1.13 eV/f.u.

The structure in Quantum ESPRESSO input format:
```
&SYSTEM
  ibrav = 0, nat = 4, ntyp = 4
/
ATOMIC_SPECIES
Pm 145.00 Pm.upf
Pr 140.91 Pr.upf
Co 58.93 Co.upf
Rh 102.91 Rh.upf
CELL_PARAMETERS angstrom
0.0000 3.5141 3.5141
3.5141 0.0000 3.5141
3.5141 3.5141 0.0000
ATOMIC_POSITIONS crystal
Pm 0.0000 0.0000 0.0000
Pr 0.5000 0.5000 0.5000
Co 0.7500 0.7500 0.7500
Rh 0.2500 0.2500 0.2500
```

Record 10
Computed, not measured: an optimized crystal structure of PmPrCoSi at the GGA-PBE level of DFT. Values from VASP.

Results
The space-group type is R3m. Its uncorrected formation energy is -172 kJ/mol of formula units.

The structure in Quantum ESPRESSO input format:
```
&SYSTEM
  ibrav = 0, nat = 4, ntyp = 4
/
ATOMIC_SPECIES
Pm 145.00 Pm.upf
Pr 140.91 Pr.upf
Co 58.93 Co.upf
Si 28.09 Si.upf
CELL_PARAMETERS angstrom
2.0239 1.1685 7.3755
-2.0239 1.1685 7.3755
0.0000 -2.3370 7.3755
ATOMIC_POSITIONS crystal
Pm 0.0000 0.0000 0.0000
Pr 0.8304 0.8304 0.8304
Co 0.2501 0.2501 0.2501
Si 0.5842 0.5842 0.5842
```

Record 11
Computed, not measured: an optimized crystal structure of Pm3Pr3Tl2Co at the GGA-PBE level of DFT. Values from VASP.

Results
The space-group type is P-62m. The energy of formation is -1.85 eV/f.u.

The structure in Quantum ESPRESSO input format:
```
&SYSTEM
  ibrav = 0, nat = 9, ntyp = 4
/
ATOMIC_SPECIES
Pm 145.00 Pm.upf
Pr 140.91 Pr.upf
Tl 204.38 Tl.upf
Co 58.93 Co.upf
CELL_PARAMETERS angstrom
8.9643 0.0000 0.0000
-4.4822 7.7633 0.0000
0.0000 0.0000 3.8328
ATOMIC_POSITIONS crystal
Pm 0.0000 0.5981 0.0000
Pm 0.4019 0.4019 0.0000
Pm 0.5981 0.0000 0.0000
Pr 0.0000 0.2337 0.5000
Pr 0.2337 0.0000 0.5000
Pr 0.7663 0.7663 0.5000
Tl 0.3333 0.6667 0.5000
Tl 0.6667 0.3333 0.5000
Co 0.0000 0.0000 0.0000
```

Number 1: VASP energy -5.132 eV per atom. Number 2: VASP energy -5.540 eV per atom. Number 3: VASP energy -5.602 eV per atom. Number 4: VASP energy -5.199 eV per atom. Number 5: VASP energy -4.852 eV per atom. Number 6: VASP energy -5.538 eV per atom. Number 7: VASP energy -5.437 eV per atom. Number 8: VASP energy -5.595 eV per atom. Number 9: VASP energy -6.280 eV per atom. Number 10: VASP energy -5.959 eV per atom. Number 11: VASP energy -4.698 eV per atom.